DFT (GGA-PBE) results for an optimized crystal structure of BaNiSeBr2.

a b c (Å): 6.180 6.180 6.434
angles (deg): 90.00 90.00 90.00
Fractional positions:
Ba: 0.000 0.000 0.000
Ni: 0.500 0.500 0.500
Se: 0.000 0.000 0.500
Br: 0.000 0.500 0.000
Br: 0.500 0.000 0.000

Calculated values
Formation energy without anion corrections ... 0.037 eV per atom
SG ... P4/mmm (123)
Volume ... 49.1 Å³/atom
Size of the total moment ... 2.00 μB per formula unit



DFT (GGA-PBE) results for an optimized crystal structure of BaTa2NiBr.

a b c (Å): 5.249 5.249 5.768
angles (deg): 90.00 90.00 90.00
Fractional positions:
Ba: 0.000 0.000 0.000
Ta: 0.000 0.500 0.000
Ta: 0.500 0.000 0.000
Ni: 0.500 0.500 0.500
Br: 0.000 0.000 0.500

Calculated values
Formation energy without anion corrections ... 2.847 eV per atom
SG ... P4/mmm (123)
Volume ... 31.8 Å³/atom
Size of the total moment ... 0.00 μB per formula unit



DFT (GGA-PBE) results for an optimized crystal structure of BaTa2NiBr.

a b c (Å): 4.611 4.611 7.325
angles (deg): 90.00 90.00 90.00
Fractional positions:
Ba: 0.000 0.000 0.000
Ta: 0.000 0.500 0.500
Ta: 0.500 0.000 0.500
Ni: 0.500 0.500 0.500
Br: 0.500 0.500 0.000

Calculated values
Formation energy without anion corrections ... 0.775 eV per atom
SG ... P4/mmm (123)
Volume ... 31.2 Å³/atom
Size of the total moment ... 1.76 μB per formula unit



DFT (GGA-PBE) results for an optimized crystal structure of BaTa2NiBr.

a b c (Å): 4.662 4.662 6.814
angles (deg): 90.00 90.00 90.00
Fractional positions:
Ba: 0.000 0.000 0.000
Ta: 0.000 0.500 0.500
Ta: 0.500 0.000 0.500
Ni: 0.000 0.000 0.500
Br: 0.500 0.500 0.000

Calculated values
Formation energy without anion corrections ... 0.640 eV per atom
SG ... P4/mmm (123)
Volume ... 29.6 Å³/atom
Size of the total moment ... 2.46 μB per formula unit



DFT (GGA-PBE) results for an optimized crystal structure of Ba2TcNiBr.

a b c (Å): 5.997 5.997 4.441
angles (deg): 90.00 90.00 90.00
Fractional positions:
Ba: 0.000 0.500 0.000
Ba: 0.500 0.000 0.000
Tc: 0.000 0.000 0.000
Ni: 0.000 0.000 0.500
Br: 0.500 0.500 0.500

Calculated values
Formation energy without anion corrections ... -0.079 eV per atom
SG ... P4/mmm (123)
Volume ... 31.9 Å³/atom
Size of the total moment ... 0.00 μB per formula unit



DFT (GGA-PBE) results for an optimized crystal structure of BaZrNi2Br.

a b c (Å): 4.946 4.946 5.759
angles (deg): 90.00 90.00 90.00
Fractional positions:
Ba: 0.000 0.000 0.000
Zr: 0.500 0.500 0.500
Ni: 0.000 0.500 0.000
Ni: 0.500 0.000 0.000
Br: 0.000 0.000 0.500

Calculated values
Formation energy without anion corrections ... 1.268 eV per atom
SG ... P4/mmm (123)
Volume ... 28.2 Å³/atom
Size of the total moment ... 0.00 μB per formula unit



DFT (GGA-PBE) results for an optimized crystal structure of Ba3NpBr2O6.

a b c (Å): 7.804 7.804 5.838
angles (deg): 93.96 93.96 56.94
Fractional positions:
Ba: 0.000 0.000 0.000
Ba: 0.000 0.500 0.500
Ba: 0.500 0.000 0.500
Np: 0.500 0.500 0.500
Br: 0.222 0.222 0.934
Br: 0.778 0.778 0.066
O: 0.234 0.662 0.685
O: 0.338 0.766 0.315
O: 0.366 0.366 0.353
O: 0.634 0.634 0.647
O: 0.662 0.234 0.685
O: 0.766 0.338 0.315

Calculated values
Formation energy without anion corrections ... -2.285 eV per atom
SG ... C2/m (12)
Volume ... 24.8 Å³/atom
Size of the total moment ... 1.06 μB per formula unit



DFT (GGA-PBE) results for an optimized crystal structure of Ba2NpBr4O2.

a b c (Å): 7.552 7.552 5.164
angles (deg): 99.02 99.02 68.88
Fractional positions:
Ba: 0.205 0.205 0.337
Ba: 0.795 0.795 0.663
Np: 0.500 0.500 0.000
Br: 0.110 0.663 0.213
Br: 0.337 0.890 0.787
Br: 0.663 0.110 0.213
Br: 0.890 0.337 0.787
O: 0.372 0.372 0.722
O: 0.628 0.628 0.278

Calculated values
Formation energy without anion corrections ... -2.218 eV per atom
SG ... C2/m (12)
Volume ... 30.0 Å³/atom
Size of the total moment ... 3.00 μB per formula unit